Entry 1:
LiCuNF2 | Alexandria | PBE | optimized geometry; DOS(E_F) = 1.62 states/eV/cell; energy relative to the lowest polymorph listed for this composition = 0 meV/atom; calculated total energy = -0.1575 hartree per atom; uncorrected formation energy = -671 meV/atom; total moment = 2.20 μB/f.u.
1.0
-0.442 -4.104 0.419
3.305 -0.604 -2.434
2.176 0.065 2.939
N F Li Cu
1 2 1 1
direct
0.000 0.000 0.500 N
0.500 0.000 0.000 F
0.000 0.500 0.000 F
0.500 0.500 0.500 Li
0.000 0.000 0.000 Cu

=====

Entry 2:
Tb7Sm3Dy | Alexandria | PBE | optimized geometry; DOS(E_F) = 16.47 states/eV/cell; energy relative to the lowest polymorph listed for this composition = 0 meV/atom; calculated total energy = -0.1659 hartree per atom; total moment = 0.00 μB/f.u.
1.0
4.711 -0.095 -2.947
-1.102 9.764 -2.080
-1.050 -0.778 8.822
Sm Dy Tb
3 1 7
direct
0.000 0.500 0.000 Sm
0.282 0.001 0.782 Sm
0.718 0.999 0.218 Sm
0.500 0.500 0.500 Dy
0.855 0.710 0.355 Tb
0.500 0.000 0.500 Tb
0.912 0.829 0.912 Tb
0.145 0.290 0.645 Tb
0.316 0.638 0.816 Tb
0.684 0.362 0.184 Tb
0.088 0.171 0.088 Tb